# Cs2TcHgCl6 PBE optimized geometry
data_Cs2TcHgCl6
_cell_length_a 11.247
_cell_length_b 11.247
_cell_length_c 11.247
_cell_angle_alpha 90.00
_cell_angle_beta 90.00
_cell_angle_gamma 90.00
_space_group_name_H-M_alt 'F m -3 m'
_space_group_IT_number 225
_space_group_name_Hall '-F 4 2 3'
loop_
_atom_site_label
_atom_site_type_symbol
_atom_site_fract_x
_atom_site_fract_y
_atom_site_fract_z
Cs1 Cs 0.250 0.250 0.250
Tc1 Tc 0.000 0.000 0.000
Hg1 Hg 0.000 0.000 0.500
Cl1 Cl 0.000 0.000 0.212
# Total magnetization in μB/cell: 12.00
# N(E_F) in states/eV per cell: 0.00
# E in eV per atom: -3.5428
# V in Å³/atom: 35.57

# La2ZnTeRh PBE optimized geometry
data_La2ZnTeRh
_cell_length_a 5.459
_cell_length_b 5.459
_cell_length_c 4.853
_cell_angle_alpha 90.00
_cell_angle_beta 90.00
_cell_angle_gamma 90.00
_space_group_name_H-M_alt 'P 4/m m m'
_space_group_IT_number 123
_space_group_name_Hall '-P 4 2'
loop_
_atom_site_label
_atom_site_type_symbol
_atom_site_fract_x
_atom_site_fract_y
_atom_site_fract_z
La1 La 0.000 0.500 0.000
Zn1 Zn 0.000 0.000 0.500
Te1 Te 0.500 0.500 0.500
Rh1 Rh 0.000 0.000 0.000
# Total magnetization in μB/cell: 0.00
# N(E_F) in states/eV per cell: 3.36
# E in eV per atom: -5.1675
# V in Å³/atom: 28.92

# Ba6SrCa12 PBE optimized geometry
data_Ba6SrCa12
_cell_length_a 18.2472
_cell_length_b 18.2472
_cell_length_c 10.0641
_cell_angle_alpha 90.00
_cell_angle_beta 90.00
_cell_angle_gamma 120.00
_space_group_name_H-M_alt 'R -3 m'
_space_group_IT_number 166
_space_group_name_Hall '-R 3 2"'
loop_
_atom_site_label
_atom_site_type_symbol
_atom_site_fract_x
_atom_site_fract_y
_atom_site_fract_z
Ba1 Ba 0.0941 0.5470 0.0974
Sr1 Sr 0.0000 0.0000 0.5000
Ca1 Ca 0.0000 0.2845 0.0000
Ca2 Ca 0.0739 0.1478 0.8271
# Total magnetization in μB/cell: 0.00
# N(E_F) in states/eV per cell: 90.66
# E in eV per atom: -1.7727
# V in Å³/atom: 50.91

# LaTbHo PBE optimized geometry
data_LaTbHo
_cell_length_a 5.7170
_cell_length_b 5.7170
_cell_length_c 3.4981
_cell_angle_alpha 90.00
_cell_angle_beta 90.00
_cell_angle_gamma 120.00
_space_group_name_H-M_alt 'P -6 m 2'
_space_group_IT_number 187
_space_group_name_Hall 'P -6 2'
loop_
_atom_site_label
_atom_site_type_symbol
_atom_site_fract_x
_atom_site_fract_y
_atom_site_fract_z
La1 La 0.0000 0.0000 0.0000
Tb1 Tb 0.6667 0.3333 0.5000
Ho1 Ho 0.3333 0.6667 0.0000
# Total magnetization in μB/cell: 0.00
# N(E_F) in states/eV per cell: 4.88
# E in eV per atom: -4.6370
# V in Å³/atom: 33.00

# KCoHg2Ge PBE optimized geometry
data_KCoHg2Ge
_cell_length_a 5.203
_cell_length_b 5.203
_cell_length_c 4.504
_cell_angle_alpha 90.00
_cell_angle_beta 90.00
_cell_angle_gamma 90.00
_space_group_name_H-M_alt 'P 4/m m m'
_space_group_IT_number 123
_space_group_name_Hall '-P 4 2'
loop_
_atom_site_label
_atom_site_type_symbol
_atom_site_fract_x
_atom_site_fract_y
_atom_site_fract_z
K1 K 0.000 0.000 0.000
Co1 Co 0.500 0.500 0.500
Hg1 Hg 0.000 0.500 0.500
Ge1 Ge 0.500 0.500 0.000
# Total magnetization in μB/cell: 0.00
# N(E_F) in states/eV per cell: 1.61
# E in eV per atom: -2.7550
# V in Å³/atom: 24.39

# Th4SnC PBE optimized geometry
data_Th4SnC
_cell_length_a 6.201
_cell_length_b 7.326
_cell_length_c 8.115
_cell_angle_alpha 105.32
_cell_angle_beta 112.38
_cell_angle_gamma 90.02
_space_group_name_H-M_alt 'P -1'
_space_group_IT_number 2
loop_
_space_group_symop_operation_xyz
'x,y,z'
'-x,-y,-z'
loop_
_atom_site_label
_atom_site_type_symbol
_atom_site_fract_x
_atom_site_fract_y
_atom_site_fract_z
Th1 Th 0.015 0.459 0.191
Th2 Th 0.176 0.959 0.191
Th3 Th 0.233 0.834 0.616
Th4 Th 0.382 0.334 0.616
Sn1 Sn 0.396 0.250 0.000
C1 C 0.000 0.500 0.500
C2 C 0.500 0.000 0.500
# Total magnetization in μB/cell: 0.00
# N(E_F) in states/eV per cell: 11.06
# E in eV per atom: -7.4077
# V in Å³/atom: 27.22

# NiHgGe2 PBE optimized geometry
data_NiHgGe2
_cell_length_a 3.2527
_cell_length_b 3.2527
_cell_length_c 25.0352
_cell_angle_alpha 90.00
_cell_angle_beta 90.00
_cell_angle_gamma 120.00
_space_group_name_H-M_alt 'R -3 m'
_space_group_IT_number 166
_space_group_name_Hall '-R 3 2"'
loop_
_atom_site_label
_atom_site_type_symbol
_atom_site_fract_x
_atom_site_fract_y
_atom_site_fract_z
Ni1 Ni 0.0000 0.0000 0.0000
Hg1 Hg 0.0000 0.0000 0.5000
Ge1 Ge 0.0000 0.0000 0.3941
# Total magnetization in μB/cell: 0.00
# N(E_F) in states/eV per cell: 4.39
# E in eV per atom: -3.8119
# V in Å³/atom: 19.12

# La3Tb2Tl PBE optimized geometry
data_La3Tb2Tl
_cell_length_a 6.668
_cell_length_b 6.758
_cell_length_c 10.178
_cell_angle_alpha 100.97
_cell_angle_beta 99.64
_cell_angle_gamma 114.12
_space_group_name_H-M_alt 'P -1'
_space_group_IT_number 2
loop_
_space_group_symop_operation_xyz
'x,y,z'
'-x,-y,-z'
loop_
_atom_site_label
_atom_site_type_symbol
_atom_site_fract_x
_atom_site_fract_y
_atom_site_fract_z
La1 La 0.103 0.363 0.263
La2 La 0.233 0.444 0.945
La3 La 0.336 0.550 0.621
Tb1 Tb 0.193 0.937 0.402
Tb2 Tb 0.288 0.007 0.066
Tl1 Tl 0.386 0.117 0.733
# Total magnetization in μB/cell: 0.00
# N(E_F) in states/eV per cell: 16.01
# E in eV per atom: -4.5118
# V in Å³/atom: 32.94